<1>
The following is a DFT calculation (PBE-GGA) of crystalline PH4I2 at its relaxed geometry.

Summary:
N(E_F)	3.6	states/eV/cell
volume	23.92	Å³ per atom

a = 6.5713 Å, b = 7.1521 Å, c = 7.8454 Å
α = 90.00°, β = 114.73°, γ = 90.00°
Space group P2_1/m (No. 11)
Unique sites:
P (0.1253, 0.2500, 0.2610) [2 per cell]
H (0.0801, 0.2500, 0.4230) [2 per cell]
H (0.0803, 0.7500, 0.9022) [2 per cell]
H (0.2500, 0.0875, 0.2615) [4 per cell]
I (0.0849, 0.2500, 0.7681) [2 per cell]
I (0.4262, 0.7500, 0.2483) [2 per cell]



<2>
The following is a DFT calculation (PBE-GGA) of crystalline PH4I2 at its relaxed geometry.

Summary:
N(E_F)	2.7	states/eV/cell
volume	18.54	Å³ per atom

a = 13.6406 Å, b = 2.9273 Å, c = 7.0520 Å
α = 90.00°, β = 112.84°, γ = 90.00°
Space group C2/m (No. 12)
Unique sites:
P (0.0000, 0.0000, 0.0000) [2 per cell]
H (0.0634, 0.0000, 0.8759) [4 per cell]
H (0.0637, 0.5000, 0.1221) [4 per cell]
I (0.1656, 0.5000, 0.6823) [4 per cell]



Relative energy table, unit meV/atom: <1> 0; <2> 333



<1>
The following is a DFT calculation (PBE-GGA) of crystalline PHS2I at its relaxed geometry.

Summary:
N(E_F)	3.5	states/eV/cell
volume	16.79	Å³ per atom

a = 5.0440 Å, b = 5.0440 Å, c = 3.2989 Å
α = 90.00°, β = 90.00°, γ = 90.00°
Space group P4/mmm (No. 123)
Unique sites:
P (0.0000, 0.0000, 0.0000) [1 per cell]
H (0.0000, 0.0000, 0.5000) [1 per cell]
S (0.0000, 0.5000, 0.5000) [2 per cell]
I (0.5000, 0.5000, 0.0000) [1 per cell]



<2>
The following is a DFT calculation (PBE-GGA) of crystalline PHS2I at its relaxed geometry.

Summary:
N(E_F)	2.9	states/eV/cell
volume	29.27	Å³ per atom

a = 5.1896 Å, b = 5.1896 Å, c = 5.4331 Å
α = 90.00°, β = 90.00°, γ = 90.00°
Space group P4/mmm (No. 123)
Unique sites:
P (0.0000, 0.0000, 0.0000) [1 per cell]
H (0.5000, 0.5000, 0.0000) [1 per cell]
S (0.0000, 0.5000, 0.5000) [2 per cell]
I (0.0000, 0.0000, 0.5000) [1 per cell]



Relative energy table, unit meV/atom: <1> 0; <2> 613